The following is a GGA-PBE calculation of crystalline LiBe3Fe at its relaxed geometry, from Alexandria via LeMat-Bulk.

Unit cell a=4.024 b=4.024 c=4.024 alpha=90.00 beta=90.00 gamma=90.00
Positions (direct):
Li 0.500 0.500 0.500
Be 0.000 0.000 0.500
Be 0.500 0.000 0.000
Be 0.000 0.500 0.000
Fe 0.000 0.000 0.000

total moment: 0.006 μB/f.u.
offset from the most stable computed form: 0.000 eV per atom
theoretical density: 2.3 g cm⁻³
space-group type: Pm-3m, No. 221

***

The following is a GGA-PBE calculation of crystalline ZnSb2C at its relaxed geometry, from Alexandria via LeMat-Bulk.

Unit cell a=4.752 b=4.752 c=4.752 alpha=60.00 beta=60.00 gamma=60.00
Positions (direct):
C 0.000 0.000 0.000
Zn 0.500 0.500 0.500
Sb 0.250 0.250 0.250
Sb 0.750 0.750 0.750

energy relative to the elements, uncorrected: 131.36 kJ per mole of atoms
total moment: 0.047 μB/f.u.
offset from the most stable computed form: 0.733 eV per atom
theoretical density: 7.0 g cm⁻³
space-group type: Fm-3m, No. 225

***

The following is a GGA-PBE calculation of crystalline TaCdFe2 at its relaxed geometry, from Alexandria via LeMat-Bulk.

Unit cell a=5.062 b=5.062 c=4.493 alpha=70.47 beta=70.47 gamma=33.89
Last column: magnetic moment on the atom in μB.
Positions (direct):
Fe 0.272 0.272 0.250  2.13
Fe 0.978 0.978 0.002  1.78
Ta 0.515 0.515 0.465  -0.38
Cd 0.735 0.735 0.783  -0.05

total moment: 3.291 μB/f.u.
theoretical density: 11.2 g cm⁻³
space-group type: Cm, No. 8
final energy: -7.183 eV per atom

***

The following is a GGA-PBE calculation of crystalline Zn3RhO at its relaxed geometry, from Alexandria via LeMat-Bulk.

Unit cell a=4.093 b=4.093 c=4.093 alpha=90.00 beta=90.00 gamma=90.00
Positions (direct):
Zn 0.500 0.000 0.000
Zn 0.000 0.500 0.000
Zn 0.000 0.000 0.500
O 0.000 0.000 0.000
Rh 0.500 0.500 0.500

energy relative to the elements, uncorrected: -24.26 kJ per mole of atoms
total moment: 0.000 μB/f.u.
offset from the most stable computed form: 0.000 eV per atom
theoretical density: 7.6 g cm⁻³
space-group type: Pm-3m, No. 221